(1)
# La3P

La3P after structural relaxation (PBE, Alexandria).

The formation energy comes out at -0.683 eV/atom. Its energy above the lowest structure with this stoichiometry is 1.63 kcal/mol of atoms.

It has space group R-3m (No. 166, hexagonal axes), with a = 4.0146 Å, b = 4.0146 Å, c = 29.3207 Å, α = 90.00°, β = 90.00° and γ = 120.00°. The distinct sites, in fractional coordinates, are La at (0.0000, 0.0000, 0.0000), La at (0.0000, 0.0000, 0.2265) and P at (0.0000, 0.0000, 0.5000).

***

(2)
# LaP3

LaP3 after structural relaxation (PBE, Alexandria).

The formation energy comes out at -0.591 eV/atom.

It has space group P4mm (No. 99), with a = 4.405 Å, b = 4.405 Å, c = 4.275 Å, α = 90.00°, β = 90.00° and γ = 90.00°. The distinct sites, in fractional coordinates, are La at (0.000, 0.000, 0.000), P at (0.000, 0.500, 0.501) and P at (0.500, 0.500, 0.719).

***

(3)
# LaP4

LaP4 after structural relaxation (PBE, Alexandria).

The formation energy comes out at 1.449 eV/atom. Its energy above the lowest structure with this stoichiometry is 41.53 kcal/mol of atoms.

It has space group Pm-3m (No. 221), with a = 5.504 Å, b = 5.504 Å, c = 5.504 Å, α = 90.00°, β = 90.00° and γ = 90.00°. The distinct sites, in fractional coordinates, are La at (0.000, 0.000, 0.000), P at (0.000, 0.000, 0.500) and P at (0.500, 0.500, 0.500).

***

(4)
# La2P

La2P after structural relaxation (PBE, Alexandria).

The formation energy comes out at -0.950 eV/atom.

It has space group I4_1/amd (No. 141, origin choice 2), with a = 5.872 Å, b = 5.872 Å, c = 11.723 Å, α = 90.00°, β = 90.00° and γ = 90.00°. The distinct sites, in fractional coordinates, are La at (0.000, 0.250, 0.123) and P at (0.000, 0.250, 0.875).

***

(5)
# La2P

La2P after structural relaxation (PBE, Alexandria).

The formation energy comes out at -0.898 eV/atom.

It has space group C2/m (No. 12), with a = 11.225 Å, b = 4.080 Å, c = 8.437 Å, α = 90.00°, β = 118.29° and γ = 90.00°. The distinct sites, in fractional coordinates, are La at (0.071, 0.000, 0.374), La at (0.160, 0.500, 0.057) and P at (0.171, 0.500, 0.679).

***

(6)
# La5P

La5P after structural relaxation (PBE, Alexandria).

The formation energy comes out at -0.398 eV/atom. Its energy above the lowest structure with this stoichiometry is 0.38 kcal/mol of atoms.

It has space group P4/mmm (No. 123), with a = 3.776 Å, b = 3.776 Å, c = 13.711 Å, α = 90.00°, β = 90.00° and γ = 90.00°. The distinct sites, in fractional coordinates, are La at (0.000, 0.000, 0.000), La at (0.000, 0.000, 0.385), La at (0.500, 0.500, 0.190) and P at (0.500, 0.500, 0.500).

***

(7)
# LaP2

LaP2 after structural relaxation (PBE, Alexandria).

The formation energy comes out at -0.884 eV/atom.

It has space group I4/mmm (No. 139), with a = 4.172 Å, b = 4.172 Å, c = 8.023 Å, α = 90.00°, β = 90.00° and γ = 90.00°. The distinct sites, in fractional coordinates, are La at (0.000, 0.000, 0.000) and P at (0.000, 0.000, 0.369).

***

(8)
# LaP3

LaP3 after structural relaxation (PBE, Alexandria).

The formation energy comes out at -0.333 eV/atom.

It has space group Cmmm (No. 65), with a = 4.762 Å, b = 5.791 Å, c = 5.750 Å, α = 90.00°, β = 90.00° and γ = 90.00°. The distinct sites, in fractional coordinates, are La at (0.000, 0.000, 0.000), P at (0.000, 0.000, 0.500) and P at (0.000, 0.500, 0.309).

***

(9)
# La2P

La2P after structural relaxation (PBE, Alexandria).

The formation energy comes out at -0.931 eV/atom.

It has space group Fm-3m (No. 225), with a = 7.035 Å, b = 7.035 Å, c = 7.035 Å, α = 90.00°, β = 90.00° and γ = 90.00°. The distinct sites, in fractional coordinates, are La at (0.250, 0.250, 0.250) and P at (0.000, 0.000, 0.000).

***

(10)
# LaP2

LaP2 after structural relaxation (PBE, Alexandria).

The formation energy comes out at -1.098 eV/atom.

It has space group Cc (No. 9), with a = 12.549 Å, b = 14.005 Å, c = 8.846 Å, α = 90.00°, β = 134.63° and γ = 90.00°. The distinct sites, in fractional coordinates, are La at (0.000, 0.038, 0.000), La at (0.104, 0.457, 0.911), La at (0.178, 0.227, 0.754), La at (0.382, 0.192, 0.559), P at (0.066, 0.133, 0.358), P at (0.205, 0.379, 0.317), P at (0.294, 0.129, 0.147), P at (0.313, 0.034, 0.954), P at (0.322, 0.373, 0.658), P at (0.396, 0.370, 0.103), P at (0.464, 0.245, 0.309) and P at (0.467, 0.115, 0.963).

***

(11)
# La2P

La2P after structural relaxation (PBE, Alexandria).

The formation energy comes out at -0.964 eV/atom.

It has space group Cmc2_1 (No. 36), with a = 3.949 Å, b = 13.057 Å, c = 7.033 Å, α = 90.00°, β = 90.00° and γ = 90.00°. The distinct sites, in fractional coordinates, are La at (0.000, 0.011, 0.000), La at (0.000, 0.269, 0.828) and P at (0.000, 0.385, 0.202).

***

(12)
# La2P

La2P after structural relaxation (PBE, Alexandria).

The formation energy comes out at -0.965 eV/atom.

It has space group P-3m1 (No. 164), with a = 4.1109 Å, b = 4.1109 Å, c = 7.0278 Å, α = 90.00°, β = 90.00° and γ = 120.00°. The distinct sites, in fractional coordinates, are La at (0.3333, 0.6667, 0.2630) and P at (0.0000, 0.0000, 0.5000).

***

Mass density, record by record: 5.4, 4.6, 2.6, 5.1, 6.0, 6.2, 4.8, 4.9, 5.9, 4.8, 5.7, 5.0 Mg/m³